Entry 1:
# AcTaNO PBE optimized geometry
# excess energy over the best structure of this formula in the dataset	0.00	eV/f.u.
# volume	19.4	A^3/atom
data_AcTaNO
_symmetry_space_group_name_H-M 'P 4/n m m'
_symmetry_Int_Tables_number 129
_cell_length_a 4.218
_cell_length_b 4.218
_cell_length_c 8.719
_cell_angle_alpha 90.00
_cell_angle_beta 90.00
_cell_angle_gamma 90.00
loop_
_symmetry_equiv_pos_as_xyz
'x,y,z'
'-x,-y,-z'
'-y+1/2,x,z'
'y+1/2,-x,-z'
'-x+1/2,-y+1/2,z'
'x+1/2,y+1/2,-z'
'y,-x+1/2,z'
'-y,x+1/2,-z'
'x+1/2,-y,-z'
'-x+1/2,y,z'
'-y,-x,-z'
'y,x,z'
'-x,y+1/2,-z'
'x,-y+1/2,z'
'y+1/2,x+1/2,-z'
'-y+1/2,-x+1/2,z'
loop_
_atom_site_label
_atom_site_type_symbol
_atom_site_fract_x
_atom_site_fract_y
_atom_site_fract_z
Ac1 Ac 0.250 0.250 0.147
Ta1 Ta 0.250 0.750 0.500
N1 N 0.250 0.250 0.488
O1 O 0.250 0.750 0.000

=====

Entry 2:
# Dy2Ho2CBr2Cl3 PBE optimized geometry
# excess energy over the best structure of this formula in the dataset	0.06	eV/f.u.
# volume	24.6	A^3/atom
data_Dy2Ho2CBr2Cl3
_symmetry_space_group_name_H-M 'C 1 2/m 1'
_symmetry_Int_Tables_number 12
_cell_length_a 17.134
_cell_length_b 3.747
_cell_length_c 7.832
_cell_angle_alpha 90.00
_cell_angle_beta 102.40
_cell_angle_gamma 90.00
loop_
_symmetry_equiv_pos_as_xyz
'x,y,z'
'-x,-y,-z'
'-x,y,-z'
'x,-y,z'
'x+1/2,y+1/2,z'
'-x+1/2,-y+1/2,-z'
'-x+1/2,y+1/2,-z'
'x+1/2,-y+1/2,z'
loop_
_atom_site_label
_atom_site_type_symbol
_atom_site_fract_x
_atom_site_fract_y
_atom_site_fract_z
Dy1 Dy 0.003 0.000 0.291
Ho1 Ho 0.142 0.500 0.573
C1 C 0.000 0.500 0.500
Br1 Br 0.168 0.000 0.849
Cl1 Cl 0.000 0.500 0.000
Cl2 Cl 0.171 0.000 0.339

=====

Entry 3:
# PrHf6As2 PBE optimized geometry
# total energy	-8.34	eV/atom
# volume	21.1	A^3/atom
data_PrHf6As2
_symmetry_space_group_name_H-M 'P -6 2 m'
_symmetry_Int_Tables_number 189
_symmetry_space_group_name_Hall 'P -6 -2'
_cell_length_a 7.5961
_cell_length_b 7.5961
_cell_length_c 3.7994
_cell_angle_alpha 90.00
_cell_angle_beta 90.00
_cell_angle_gamma 120.00
loop_
_atom_site_label
_atom_site_type_symbol
_atom_site_fract_x
_atom_site_fract_y
_atom_site_fract_z
Pr1 Pr 0.0000 0.0000 0.0000
Hf1 Hf 0.0000 0.2706 0.5000
Hf2 Hf 0.0000 0.5781 0.0000
As1 As 0.3333 0.6667 0.5000

=====

Entry 4:
# Ir5C PBE optimized geometry
# total energy	-7.24	eV/atom
# volume	16.5	A^3/atom
data_Ir5C
_symmetry_space_group_name_H-M 'P 6/m m m'
_symmetry_Int_Tables_number 191
_symmetry_space_group_name_Hall '-P 6 2'
_cell_length_a 5.0577
_cell_length_b 5.0577
_cell_length_c 4.4707
_cell_angle_alpha 90.00
_cell_angle_beta 90.00
_cell_angle_gamma 120.00
loop_
_atom_site_label
_atom_site_type_symbol
_atom_site_fract_x
_atom_site_fract_y
_atom_site_fract_z
Ir1 Ir 0.0000 0.5000 0.0000
Ir2 Ir 0.3333 0.6667 0.5000
C1 C 0.0000 0.0000 0.5000

=====

Entry 5:
# Hf2PtPb3 PBE optimized geometry
# total energy	-6.24	eV/atom
# volume	23.2	A^3/atom
data_Hf2PtPb3
_symmetry_space_group_name_H-M 'P 4 m m'
_symmetry_Int_Tables_number 99
_cell_length_a 3.619
_cell_length_b 3.619
_cell_length_c 10.643
_cell_angle_alpha 90.00
_cell_angle_beta 90.00
_cell_angle_gamma 90.00
loop_
_symmetry_equiv_pos_as_xyz
'x,y,z'
'-y,x,z'
'-x,-y,z'
'y,-x,z'
'-x,y,z'
'y,x,z'
'x,-y,z'
'-y,-x,z'
loop_
_atom_site_label
_atom_site_type_symbol
_atom_site_fract_x
_atom_site_fract_y
_atom_site_fract_z
Hf1 Hf 0.000 0.000 0.000
Hf2 Hf 0.500 0.500 0.447
Pt1 Pt 0.000 0.000 0.337
Pb1 Pb 0.000 0.000 0.635
Pb2 Pb 0.500 0.500 0.165
Pb3 Pb 0.500 0.500 0.837

=====

Entry 6:
# Pr2Y2CI2Cl3 PBE optimized geometry
# excess energy over the best structure of this formula in the dataset	0.13	eV/f.u.
# volume	29.4	A^3/atom
data_Pr2Y2CI2Cl3
_symmetry_space_group_name_H-M 'C 1 2/m 1'
_symmetry_Int_Tables_number 12
_cell_length_a 18.332
_cell_length_b 3.936
_cell_length_c 8.270
_cell_angle_alpha 90.00
_cell_angle_beta 99.86
_cell_angle_gamma 90.00
loop_
_symmetry_equiv_pos_as_xyz
'x,y,z'
'-x,-y,-z'
'-x,y,-z'
'x,-y,z'
'x+1/2,y+1/2,z'
'-x+1/2,-y+1/2,-z'
'-x+1/2,y+1/2,-z'
'x+1/2,-y+1/2,z'
loop_
_atom_site_label
_atom_site_type_symbol
_atom_site_fract_x
_atom_site_fract_y
_atom_site_fract_z
Pr1 Pr 0.005 0.000 0.288
Y1 Y 0.133 0.500 0.559
C1 C 0.000 0.500 0.500
I1 I 0.170 0.000 0.842
Cl1 Cl 0.000 0.500 0.000
Cl2 Cl 0.169 0.000 0.352

=====

> Look up the volume of the fifth one.

23.2 A^3/atom

=====

> Among the records above, which one has the highest volume?

Pr2Y2CI2Cl3

=====

> Which value of volume does entry 3 give?

21.1 A^3/atom

=====

> Among the records above, which one has the lowest volume?

Ir5C